1.
A plane-wave DFT calculation with GGA-PBE was carried out for an optimized crystal structure of Tb3YHo2Bi6.

```
Tb3YHo2Bi6
1.0
9.763 -2.240 0.000
9.763 2.240 0.000
-2.045 0.000 8.726
Tb Y Ho Bi
3 1 2 6
direct
0.000 0.000 0.000
0.334 0.334 0.667
0.666 0.666 0.333
0.000 0.000 0.500
0.333 0.333 0.167
0.667 0.667 0.833
0.167 0.167 0.082
0.167 0.167 0.585
0.499 0.499 0.250
0.501 0.501 0.750
0.833 0.833 0.415
0.833 0.833 0.918
```

Results
As for the total magnetization: 0.0000 μB/atom. As for the energy of formation from the pure elements: -10.42 eV per formula unit. Its raw total energy is -5.268 eV per atom. Its crystal system is monoclinic. Its space-group type is No. 12. The value obtained for the density of states at the Fermi level is 2.0 states/eV per cell.

---

2.
A plane-wave DFT calculation with GGA-PBE was carried out for an optimized crystal structure of Tb3Y2HoBi6.

```
Tb3Y2HoBi6
1.0
9.771 -2.242 0.000
9.771 2.242 0.000
-2.047 0.000 8.732
Tb Y Ho Bi
3 2 1 6
direct
0.000 0.000 0.000
0.333 0.333 0.667
0.667 0.667 0.333
0.333 0.333 0.167
0.667 0.667 0.833
0.000 0.000 0.500
0.166 0.166 0.583
0.167 0.167 0.083
0.500 0.500 0.252
0.500 0.500 0.748
0.833 0.833 0.917
0.834 0.834 0.417
```

Results
As for the total magnetization: 0.0000 μB/atom. As for the energy of formation from the pure elements: -10.55 eV per formula unit. Its raw total energy is -5.436 eV per atom. Its crystal system is monoclinic. Its space-group type is No. 12. The value obtained for the density of states at the Fermi level is 2.0 states/eV per cell.

---

3.
A plane-wave DFT calculation with GGA-PBE was carried out for an optimized crystal structure of Ho6Tc2Bi.

```
Ho6Tc2Bi
1.0
-4.744 4.841 5.230
4.744 -4.841 5.230
4.744 4.841 -5.230
Ho Tc Bi
12 4 2
direct
0.028 0.244 0.784
0.186 0.281 0.467
0.186 0.719 0.904
0.333 0.018 0.684
0.333 0.649 0.316
0.459 0.244 0.216
0.541 0.756 0.784
0.667 0.351 0.684
0.667 0.982 0.316
0.814 0.281 0.096
0.814 0.719 0.533
0.972 0.756 0.216
0.116 0.616 0.500
0.333 0.000 0.333
0.667 0.000 0.667
0.884 0.384 0.500
0.000 0.000 0.000
0.500 0.500 0.000
```

Results
As for the total magnetization: 0.0000 μB/atom. As for the energy of formation from the pure elements: -2.32 eV per formula unit. Its raw total energy is -6.044 eV per atom. Its crystal system is orthorhombic. Its space-group type is No. 71. The value obtained for the density of states at the Fermi level is 16.9 states/eV per cell.

---

4.
A plane-wave DFT calculation with GGA-PBE was carried out for an optimized crystal structure of Ho6TcBi2.

```
Ho6TcBi2
1.0
8.275 0.000 0.000
-4.137 7.166 0.000
0.000 0.000 4.282
Ho Tc Bi
6 1 2
direct
0.000 0.233 0.000
0.000 0.610 0.500
0.233 0.000 0.000
0.390 0.390 0.500
0.610 0.000 0.500
0.767 0.767 0.000
0.000 0.000 0.500
0.333 0.667 0.000
0.667 0.333 0.000
```

Results
As for the total magnetization: 0.0000 μB/atom. As for the energy of formation from the pure elements: -4.40 eV per formula unit. Its raw total energy is -5.555 eV per atom. Its crystal system is hexagonal. Its space-group type is No. 189. The value obtained for the density of states at the Fermi level is 5.1 states/eV per cell.

---

5.
A plane-wave DFT calculation with GGA-PBE was carried out for an optimized crystal structure of Ho12TcBi6.

```
Ho12TcBi6
1.0
6.586 3.802 4.065
-6.586 3.802 4.065
0.000 -7.605 4.065
Ho Tc Bi
12 1 6
direct
0.000 0.311 0.056
0.000 0.689 0.944
0.056 0.000 0.311
0.204 0.412 0.539
0.311 0.056 0.000
0.412 0.539 0.204
0.461 0.796 0.588
0.539 0.204 0.412
0.588 0.461 0.796
0.689 0.944 0.000
0.796 0.588 0.461
0.944 0.000 0.689
0.000 0.000 0.000
0.116 0.653 0.321
0.321 0.116 0.653
0.347 0.679 0.884
0.653 0.321 0.116
0.679 0.884 0.347
0.884 0.347 0.679
```

Results
As for the total magnetization: 0.0000 μB/atom. As for the energy of formation from the pure elements: -7.52 eV per formula unit. Its raw total energy is -5.058 eV per atom. Its crystal system is trigonal. Its space-group type is No. 148. The value obtained for the density of states at the Fermi level is 11.6 states/eV per cell.

---

6.
A plane-wave DFT calculation with GGA-PBE was carried out for an optimized crystal structure of Ho4TcBi.

```
Ho4TcBi
1.0
8.087 0.000 0.000
0.000 4.276 0.000
0.000 0.000 18.996
Ho Tc Bi
16 4 4
direct
0.002 0.250 0.064
0.066 0.750 0.207
0.120 0.750 0.640
0.147 0.750 0.455
0.353 0.250 0.955
0.380 0.250 0.140
0.434 0.250 0.707
0.498 0.750 0.564
0.502 0.250 0.436
0.566 0.750 0.293
0.620 0.750 0.860
0.647 0.750 0.045
0.853 0.250 0.545
0.880 0.250 0.360
0.934 0.250 0.793
0.998 0.750 0.936
0.245 0.750 0.060
0.255 0.250 0.560
0.745 0.750 0.440
0.755 0.250 0.940
0.243 0.750 0.807
0.257 0.250 0.307
0.743 0.750 0.693
0.757 0.250 0.193
```

Results
As for the total magnetization: 0.0000 μB/atom. As for the energy of formation from the pure elements: -2.28 eV per formula unit. Its raw total energy is -5.806 eV per atom. Its crystal system is orthorhombic. Its space-group type is No. 62. The value obtained for the density of states at the Fermi level is 20.1 states/eV per cell.

---

7.
A plane-wave DFT calculation with GGA-PBE was carried out for an optimized crystal structure of Ho8TcBi2.

```
Ho8TcBi2
1.0
8.811 -2.710 0.000
8.811 2.710 0.000
-1.952 0.000 6.613
Ho Tc Bi
8 1 2
direct
0.009 0.009 0.235
0.199 0.199 0.084
0.358 0.358 0.704
0.407 0.407 0.251
0.593 0.593 0.749
0.642 0.642 0.296
0.801 0.801 0.916
0.991 0.991 0.765
0.500 0.500 0.000
0.167 0.167 0.599
0.833 0.833 0.401
```

Results
As for the total magnetization: 0.0000 μB/atom. As for the energy of formation from the pure elements: -2.76 eV per formula unit. Its raw total energy is -5.228 eV per atom. Its crystal system is monoclinic. Its space-group type is No. 12. The value obtained for the density of states at the Fermi level is 8.9 states/eV per cell.

---

8.
A plane-wave DFT calculation with GGA-PBE was carried out for an optimized crystal structure of Ho4TcBi.

```
Ho4TcBi
1.0
4.464 -6.712 0.000
4.464 6.712 0.000
-2.385 0.000 5.718
Ho Tc Bi
8 2 2
direct
0.058 0.725 0.937
0.202 0.345 0.648
0.275 0.942 0.563
0.345 0.202 0.148
0.655 0.798 0.852
0.725 0.058 0.437
0.798 0.655 0.352
0.942 0.275 0.063
0.001 0.999 0.250
0.999 0.001 0.750
0.373 0.627 0.250
0.627 0.373 0.750
```

Results
As for the total magnetization: 0.0000 μB/atom. As for the energy of formation from the pure elements: -2.30 eV per formula unit. Its raw total energy is -5.810 eV per atom. Its crystal system is monoclinic. Its space-group type is No. 15. The value obtained for the density of states at the Fermi level is 10.9 states/eV per cell.